[1]
First-principles (PBE) data for Sc6Cd5In after structural relaxation, as listed in the Alexandria database.

V, Å³/atom: 22.2
ΔE_f, meV per atom: -323

Cell lengths 5.0008, 7.0928, 7.9166 Å; angles 90.00, 71.59, 90.00 degrees
Closest atoms and distances in Å follow each position.
Element x y z (fractional)
Cd 0.3310 0.0000 0.3379  8 Sc 3.04-3.10
In 0.0000 0.0000 0.0000  8 Sc 3.07-3.08
Cd 0.0000 0.5000 0.0000  8 Sc 3.06-3.07
Cd 0.3340 0.5000 0.3321  8 Sc 3.06
Cd 0.6660 0.5000 0.6679  8 Sc 3.06
Sc 0.1672 0.7481 0.6657  7 Cd 3.04-3.07, 1 In 3.08
Cd 0.6690 0.0000 0.6621  8 Sc 3.04-3.10
Sc 0.5000 0.2512 0.0000  6 Cd 3.06-3.10, 2 In 3.07
Sc 0.5000 0.7488 0.0000  6 Cd 3.06-3.10, 2 In 3.07
Sc 0.8328 0.2519 0.3343  7 Cd 3.04-3.07, 1 In 3.08
Sc 0.1672 0.2519 0.6657  7 Cd 3.04-3.07, 1 In 3.08
Sc 0.8328 0.7481 0.3343  7 Cd 3.04-3.07, 1 In 3.08


[2]
First-principles (PBE) data for Ho7Tm4Tl after structural relaxation, as listed in the Alexandria database.

V, Å³/atom: 32.4
ΔE to the lowest computed polymorph, meV/atom: 231
ΔE_f, meV per atom: 213

Cell lengths 5.8113, 6.6955, 11.5108 Å; angles 78.30, 75.38, 64.28 degrees
Closest atoms and distances in Å follow each position.
Element x y z (fractional)
Tm 0.8628 0.6582 0.6162  5 Ho 3.35-3.55, 3 Tm 3.38-3.45
Tl 0.0000 0.0000 0.0000  6 Ho 2.91-3.10
Tm 0.1372 0.3418 0.3838  5 Ho 3.35-3.55, 3 Tm 3.38-3.45
Ho 0.7974 0.4867 0.9184  1 Tl 2.98, 1 Ho 3.32
Ho 0.5000 0.0000 0.0000  2 Tl 2.91
Ho 0.9007 0.9190 0.2796  1 Tl 3.10, 2 Ho 3.43-3.46
Ho 0.3675 0.7938 0.4713  5 Tm 3.31-3.59, 4 Ho 3.43-3.64
Ho 0.6325 0.2062 0.5287  5 Tm 3.31-3.59, 4 Ho 3.43-3.64
Tm 0.6288 0.5093 0.2331  6 Ho 3.31-3.59, 2 Tm 3.45
Ho 0.0993 0.0810 0.7204  1 Tl 3.10, 2 Ho 3.43-3.46
Tm 0.3712 0.4907 0.7669  6 Ho 3.31-3.59, 2 Tm 3.45
Ho 0.2026 0.5133 0.0816  1 Tl 2.98, 1 Ho 3.32


[3]
First-principles (PBE) data for Ho4Er3Sc4 after structural relaxation, as listed in the Alexandria database.

V, Å³/atom: 28.4
ΔE to the lowest computed polymorph, meV/atom: 0
ΔE_f, meV per atom: 48

Cell lengths 3.4359, 4.8205, 19.0694 Å; angles 97.26, 95.16, 89.99 degrees
Closest atoms and distances in Å follow each position.
Element x y z (fractional)
Er 0.0000 0.0000 0.0000  2 Er 3.44, 8 Ho 3.45, 2 Sc 3.47
Er 0.6371 0.6368 0.2742  5 Ho 3.40-3.45, 5 Sc 3.41-3.45, 2 Er 3.44
Ho 0.1839 0.1838 0.3681  6 Sc 3.29-3.46, 2 Ho 3.44, 4 Er 3.45
Er 0.3629 0.3632 0.7258  5 Ho 3.40-3.45, 5 Sc 3.41-3.45, 2 Er 3.44
Sc 0.2715 0.2716 0.5428  5 Ho 3.29-3.40, 6 Sc 3.37-3.44, 1 Er 3.45
Sc 0.9079 0.9080 0.8156  5 Er 3.41-3.47, 5 Ho 3.42-3.46, 2 Sc 3.44
Ho 0.4531 0.4531 0.9062  5 Er 3.40-3.45, 4 Sc 3.42, 3 Ho 3.44-3.54
Ho 0.5469 0.5469 0.0939  5 Er 3.40-3.45, 4 Sc 3.42, 3 Ho 3.44-3.54
Ho 0.8160 0.8162 0.6318  6 Sc 3.29-3.46, 2 Ho 3.44, 4 Er 3.45
Sc 0.0921 0.0920 0.1844  5 Er 3.41-3.47, 5 Ho 3.42-3.46, 2 Sc 3.44
Sc 0.7284 0.7284 0.4571  5 Ho 3.29-3.40, 6 Sc 3.37-3.44, 1 Er 3.45


[4]
First-principles (PBE) data for KAlSb4 after structural relaxation, as listed in the Alexandria database.

Formation energy (no corrections), eV per atom: 0.08
V, Å³/atom: 30.9
ΔE to the lowest computed polymorph, meV/atom: 309

Cell lengths 6.3989, 6.3989, 6.3989 Å; angles 60.00, 60.00, 60.00 degrees
Closest atoms and distances in Å follow each position.
Element x y z (fractional)
K 0.0000 0.0000 0.0000  12 Sb 3.76, 4 Al 3.92
Al 0.7500 0.7500 0.7500  12 Sb 3.75, 4 K 3.92
Sb 0.3768 0.8695 0.3768  6 Sb 3.15-3.25
Sb 0.3768 0.3768 0.3768  6 Sb 3.15-3.25
Sb 0.3768 0.3768 0.8695  6 Sb 3.15-3.25
Sb 0.8695 0.3768 0.3768  6 Sb 3.15-3.25